Record 1
Here is K3ScO3 after structural relaxation from Alexandria via LeMat-Bulk. Energies are from GGA-PBE.

Computed properties:
calculated volume: 20.35 Å³ per atom
DOS at the Fermi energy: 0.0 states/eV per cell
energy relative to the elements, uncorrected: -1389 kJ/mol of formula units
total energy: -155.560 eV per cell
symmetry: P2_1/c (14)

Unit cell a=7.4049 b=6.9564 c=11.0903 alpha=90.00 beta=93.96 gamma=90.00
Last column: nearest neighbours and their distance in Å.
Sites, in units of the cell vectors:
K 0.0697 0.1242 0.1568  3 O 2.70-2.86
K 0.0697 0.3758 0.6568  3 O 2.70-2.86
K 0.3583 0.1664 0.9201  4 O 2.66-2.88
K 0.3583 0.3336 0.4201  4 O 2.66-2.88
K 0.3732 0.6956 0.8101  3 O 2.59-2.84
K 0.3732 0.8044 0.3101  3 O 2.59-2.84
K 0.6268 0.1956 0.6899  3 O 2.59-2.84
K 0.6268 0.3044 0.1899  3 O 2.59-2.84
K 0.6417 0.6664 0.5799  4 O 2.66-2.88
K 0.6417 0.8336 0.0799  4 O 2.66-2.88
K 0.9303 0.6242 0.3432  3 O 2.70-2.86
K 0.9303 0.8758 0.8432  3 O 2.70-2.86
Sc 0.1595 0.5885 0.0674  4 O 1.95-2.07
Sc 0.1595 0.9115 0.5674  4 O 1.95-2.07
Sc 0.8405 0.0885 0.4326  4 O 1.95-2.07
Sc 0.8405 0.4115 0.9326  4 O 1.95-2.07
O 0.1118 0.0512 0.4053  2 Sc 2.05-2.07
O 0.1118 0.4488 0.9053  2 Sc 2.05-2.07
O 0.2535 0.6499 0.5437  1 Sc 1.97
O 0.2535 0.8501 0.0437  1 Sc 1.97
O 0.3043 0.0515 0.6920  1 Sc 1.95
O 0.3043 0.4485 0.1920  1 Sc 1.95
O 0.6957 0.5515 0.8080  1 Sc 1.95
O 0.6957 0.9485 0.3080  1 Sc 1.95
O 0.7465 0.1499 0.9563  1 Sc 1.97
O 0.7465 0.3501 0.4563  1 Sc 1.97
O 0.8882 0.5512 0.0947  2 Sc 2.05-2.07
O 0.8882 0.9488 0.5947  2 Sc 2.05-2.07

***

Record 2
Here is KSc3Se4O12 after structural relaxation from Alexandria via LeMat-Bulk. Energies are from GGA-PBE.

Computed properties:
calculated volume: 16.30 Å³ per atom
DOS at the Fermi energy: 7.7 states/eV per cell
energy relative to the elements, uncorrected: -3037 kJ/mol of formula units
total energy: -125.007 eV per cell
symmetry: R32 (155)

Unit cell a=7.3819 b=7.3819 c=7.3819 alpha=107.95 beta=107.95 gamma=107.95
Last column: nearest neighbours and their distance in Å.
Sites, in units of the cell vectors:
K 0.0000 0.0000 0.0000  6 O 3.10
Sc 0.0000 0.5737 0.4263  2 O 1.97
Sc 0.4263 0.0000 0.5737  2 O 1.97
Sc 0.5737 0.4263 0.0000  2 O 1.97
Se 0.0710 0.5000 0.9290  2 O 1.73
Se 0.5000 0.5000 0.5000  3 O 1.90
Se 0.5000 0.9290 0.0710  2 O 1.73
Se 0.9290 0.0710 0.5000  2 O 1.73
O 0.0886 0.6311 0.7721  1 Se 1.73
O 0.1208 0.8792 0.5000  2 Sc 1.97
O 0.2279 0.3689 0.9114  1 Se 1.73
O 0.3411 0.6589 0.5000  1 Se 1.90
O 0.3689 0.9114 0.2279  1 Se 1.73
O 0.5000 0.1208 0.8792  2 Sc 1.97
O 0.5000 0.3411 0.6589  1 Se 1.90
O 0.6311 0.7721 0.0886  1 Se 1.73
O 0.6589 0.5000 0.3411  1 Se 1.90
O 0.7721 0.0886 0.6311  1 Se 1.73
O 0.8792 0.5000 0.1208  2 Sc 1.97
O 0.9114 0.2279 0.3689  1 Se 1.73

***

Record 3
Here is K2ScSi2O6 after structural relaxation from Alexandria via LeMat-Bulk. Energies are from GGA-PBE.

Computed properties:
calculated volume: 14.65 Å³ per atom
DOS at the Fermi energy: 0.0 states/eV per cell
energy relative to the elements, uncorrected: -2676 kJ/mol of formula units
total energy: -76.857 eV per cell
symmetry: C2/m (12)

Unit cell a=5.7159 b=5.7159 c=6.5839 alpha=115.73 beta=115.73 gamma=60.00
Last column: nearest neighbours and their distance in Å.
Sites, in units of the cell vectors:
K 0.2157 0.2157 0.1479  9 O 2.95-2.99
K 0.7843 0.7843 0.8521  9 O 2.95-2.99
Sc 0.0000 0.0000 0.5000  6 O 2.12
Si 0.4251 0.4251 0.7737  3 O 1.61-1.62
Si 0.5749 0.5749 0.2263  3 O 1.61-1.62
O 0.2468 0.2468 0.7187  1 Si 1.61
O 0.2477 0.7283 0.7214  1 Si 1.62
O 0.2717 0.7523 0.2786  1 Si 1.62
O 0.7283 0.2477 0.7214  1 Si 1.62
O 0.7523 0.2717 0.2786  1 Si 1.62
O 0.7532 0.7532 0.2813  1 Si 1.61

***

Record 4
Here is K4Sm3ScO8 after structural relaxation from Alexandria via LeMat-Bulk. Energies are from GGA-PBE.

Computed properties:
calculated volume: 16.68 Å³ per atom
DOS at the Fermi energy: 0.0 states/eV per cell
energy relative to the elements, uncorrected: -4104 kJ/mol of formula units
total energy: -107.075 eV per cell
symmetry: R-3m (166)

Unit cell a=7.4618 b=7.4618 c=7.4618 alpha=56.06 beta=56.06 gamma=56.06
Last column: nearest neighbours and their distance in Å.
Sites, in units of the cell vectors:
K 0.0000 0.0000 0.0000  6 O 2.91
K 0.0000 0.5000 0.5000  6 O 2.79-2.80
K 0.5000 0.0000 0.5000  6 O 2.79-2.80
K 0.5000 0.5000 0.0000  6 O 2.79-2.80
Sm 0.0000 0.0000 0.5000  6 O 2.35-2.38
Sm 0.0000 0.5000 0.0000  6 O 2.35-2.38
Sm 0.5000 0.0000 0.0000  6 O 2.35-2.38
Sc 0.5000 0.5000 0.5000  6 O 2.24
O 0.2304 0.2304 0.2304  3 Sm 2.35
O 0.2456 0.7193 0.7193  1 Sc 2.24, 2 Sm 2.38
O 0.2807 0.2807 0.7544  1 Sc 2.24, 2 Sm 2.38
O 0.2807 0.7544 0.2807  1 Sc 2.24, 2 Sm 2.38
O 0.7193 0.2456 0.7193  1 Sc 2.24, 2 Sm 2.38
O 0.7193 0.7193 0.2456  1 Sc 2.24, 2 Sm 2.38
O 0.7544 0.2807 0.2807  1 Sc 2.24, 2 Sm 2.38
O 0.7696 0.7696 0.7696  3 Sm 2.35

***

Record 5
Here is K2Sc2SnO6 after structural relaxation from Alexandria via LeMat-Bulk. Energies are from GGA-PBE.

Computed properties:
calculated volume: 15.44 Å³ per atom
DOS at the Fermi energy: 0.0 states/eV per cell
energy relative to the elements, uncorrected: -2642 kJ/mol of formula units
total energy: -75.997 eV per cell
symmetry: C2/m (12)

Unit cell a=5.5642 b=5.5642 c=6.6009 alpha=98.24 beta=98.24 gamma=119.86
Last column: nearest neighbours and their distance in Å.
Sites, in units of the cell vectors:
K 0.1684 0.8316 0.0000  6 O 2.78-2.79
K 0.8316 0.1684 0.0000  6 O 2.78-2.79
Sc 0.3343 0.6657 0.5000  6 O 2.14-2.17
Sc 0.6657 0.3343 0.5000  6 O 2.14-2.17
Sn 0.0000 0.0000 0.5000  6 O 2.10-2.14
O 0.0533 0.3870 0.6705  1 Sn 2.14, 2 Sc 2.14-2.17
O 0.2671 0.2671 0.3301  1 Sn 2.10, 2 Sc 2.16
O 0.3870 0.0533 0.6705  1 Sn 2.14, 2 Sc 2.14-2.17
O 0.6130 0.9467 0.3295  1 Sn 2.14, 2 Sc 2.14-2.17
O 0.7329 0.7329 0.6699  1 Sn 2.10, 2 Sc 2.16
O 0.9467 0.6130 0.3295  1 Sn 2.14, 2 Sc 2.14-2.17

***

Record 6
Here is KSr2ScO4 after structural relaxation from Alexandria via LeMat-Bulk. Energies are from GGA-PBE.

Computed properties:
calculated volume: 15.92 Å³ per atom
DOS at the Fermi energy: 0.0 states/eV per cell
energy relative to the elements, uncorrected: -1953 kJ/mol of formula units
total energy: -101.724 eV per cell
symmetry: Imma (74)

Unit cell a=7.1379 b=7.1379 c=7.1379 alpha=120.77 beta=120.45 gamma=88.94
Last column: nearest neighbours and their distance in Å.
Sites, in units of the cell vectors:
K 0.5000 0.0000 0.0000  6 O 2.60-2.62
K 0.5000 0.5000 0.5000  6 O 2.60-2.62
Sr 0.0000 0.0000 0.0000  4 O 2.58
Sr 0.0000 0.0000 0.5000  6 O 2.47-2.50
Sr 0.0000 0.5000 0.0000  6 O 2.47-2.50
Sr 0.5000 0.0000 0.5000  4 O 2.58
Sc 0.0000 0.5000 0.5000  2 O 2.09
Sc 0.5000 0.5000 0.0000  2 O 2.09
O 0.1896 0.7049 0.4847  1 Sc 2.09
O 0.2448 0.2611 0.5163  2 Sc 2.42, 3 Sr 2.50-2.58, 1 K 2.60
O 0.2448 0.7285 0.9837  2 Sc 2.42, 3 Sr 2.50-2.58, 1 K 2.60
O 0.2798 0.2951 0.9847  1 Sc 2.09
O 0.7202 0.7049 0.0153  1 Sc 2.09
O 0.7552 0.2715 0.0163  2 Sc 2.42, 3 Sr 2.50-2.58, 1 K 2.60
O 0.7552 0.7389 0.4837  2 Sc 2.42, 3 Sr 2.50-2.58, 1 K 2.60
O 0.8104 0.2951 0.5153  1 Sc 2.09

***

Record 7
Here is K3ScTa2O8 after structural relaxation from Alexandria via LeMat-Bulk. Energies are from GGA-PBE.

Computed properties:
calculated volume: 17.16 Å³ per atom
DOS at the Fermi energy: 0.0 states/eV per cell
energy relative to the elements, uncorrected: -3596 kJ/mol of formula units
total energy: -110.260 eV per cell
symmetry: P-3m1 (164)

Unit cell a=6.0203 b=6.0203 c=7.6528 alpha=90.00 beta=90.00 gamma=120.00
Last column: nearest neighbours and their distance in Å.
Sites, in units of the cell vectors:
K 0.0000 0.0000 0.0000  6 O 3.08
K 0.3333 0.6667 0.6773  1 O 2.52
K 0.6667 0.3333 0.3227  1 O 2.52
Sc 0.0000 0.0000 0.5000  6 O 2.14
Ta 0.3333 0.6667 0.2439  4 O 1.82-1.89
Ta 0.6667 0.3333 0.7561  4 O 1.82-1.89
O 0.1649 0.3299 0.3339  1 Ta 1.89
O 0.1649 0.8351 0.3339  1 Ta 1.89
O 0.3299 0.1649 0.6661  1 Ta 1.89
O 0.3333 0.6667 0.0061  1 Ta 1.82
O 0.6667 0.3333 0.9939  1 Ta 1.82
O 0.6701 0.8351 0.3339  1 Ta 1.89
O 0.8351 0.1649 0.6661  1 Ta 1.89
O 0.8351 0.6701 0.6661  1 Ta 1.89

***

Record 8
Here is K2ScTaO6 after structural relaxation from Alexandria via LeMat-Bulk. Energies are from GGA-PBE.

Computed properties:
calculated volume: 14.09 Å³ per atom
DOS at the Fermi energy: 5.1 states/eV per cell
energy relative to the elements, uncorrected: -2253 kJ/mol of formula units
total energy: -73.480 eV per cell
symmetry: Fm-3m (225)

Unit cell a=5.8407 b=5.8407 c=5.8407 alpha=60.00 beta=60.00 gamma=60.00
Last column: nearest neighbours and their distance in Å.
Sites, in units of the cell vectors:
K 0.2500 0.2500 0.2500  12 O 2.92
K 0.7500 0.7500 0.7500  12 O 2.92
Sc 0.0000 0.0000 0.0000  6 O 2.13
Ta 0.5000 0.5000 0.5000  6 O 2.00
O 0.2578 0.2578 0.7422  1 Ta 2.00, 1 Sc 2.13
O 0.2578 0.7422 0.2578  1 Ta 2.00, 1 Sc 2.13
O 0.2578 0.7422 0.7422  1 Ta 2.00, 1 Sc 2.13
O 0.7422 0.2578 0.2578  1 Ta 2.00, 1 Sc 2.13
O 0.7422 0.2578 0.7422  1 Ta 2.00, 1 Sc 2.13
O 0.7422 0.7422 0.2578  1 Ta 2.00, 1 Sc 2.13

***

Record 9
Here is KSc2TaO after structural relaxation from Alexandria via LeMat-Bulk. Energies are from GGA-PBE.

Computed properties:
calculated volume: 27.77 Å³ per atom
DOS at the Fermi energy: 7.0 states/eV per cell
energy relative to the elements, uncorrected: 82 kJ/mol of formula units
total energy: -29.720 eV per cell
symmetry: P4/mmm (123)

Unit cell a=5.9554 b=5.9554 c=3.9146 alpha=90.00 beta=90.00 gamma=90.00
Last column: nearest neighbours and their distance in Å.
Sites, in units of the cell vectors:
K 0.0000 0.0000 0.0000  8 Sc 3.56, 2 K 3.91
Sc 0.0000 0.5000 0.5000  2 Ta 2.98
Sc 0.5000 0.0000 0.5000  2 Ta 2.98
Ta 0.5000 0.5000 0.5000  2 O 1.96
O 0.5000 0.5000 0.0000  2 Ta 1.96

***

> energy relative to the elements, uncorrected of number 1 (K3ScO3)?

-1389 kJ/mol of formula units

***

> The highest calculated volume belongs to which entry?

KSc2TaO

***

> The highest DOS at the Fermi energy belongs to which entry?

KSc3Se4O12

***

> Which of these has the lowest calculated volume?

K2ScTaO6